(1)
Density functional theory data (PBE) for crystalline SrBiAsSe2 at its relaxed geometry.

Geometry as POSCAR:
```
SrBiAsSe2
1.0
5.623 0.000 0.000
0.000 5.623 0.000
0.000 0.000 5.608
Se Bi As Sr
2 1 1 1
direct
0.000 0.500 0.000
0.500 0.000 0.000
0.500 0.500 0.500
0.000 0.000 0.500
0.000 0.000 0.000
```

Values from the calculation:
energy above the most stable polymorph in this dataset	685	meV/atom

---

(2)
Density functional theory data (PBE) for crystalline SrBiAsSe2 at its relaxed geometry.

Geometry as POSCAR:
```
SrBiAsSe2
1.0
5.553 0.000 0.000
0.000 5.553 0.000
0.000 0.000 5.412
Sr As Bi Se
1 1 1 2
direct
0.500 0.500 0.500
0.000 0.000 0.500
0.000 0.000 0.000
0.500 0.000 0.000
0.000 0.500 0.000
```

Values from the calculation:
energy above the most stable polymorph in this dataset	0	meV/atom

---

(3)
Density functional theory data (PBE) for crystalline Sr6Bi2AsSe at its relaxed geometry.

Geometry as POSCAR:
```
Sr6Bi2AsSe
1.0
-1.480 1.333 7.518
2.251 -8.237 1.904
10.764 3.305 1.572
As Sr Bi Se
2 12 4 2
direct
0.500 0.000 0.500
0.000 0.500 0.000
0.369 0.952 0.748
0.180 0.185 0.436
0.131 0.452 0.752
0.869 0.548 0.248
0.631 0.048 0.252
0.320 0.685 0.064
0.824 0.806 0.937
0.680 0.315 0.936
0.820 0.815 0.564
0.176 0.194 0.063
0.324 0.694 0.437
0.676 0.306 0.563
0.960 0.094 0.752
0.040 0.906 0.248
0.460 0.406 0.252
0.540 0.594 0.748
0.000 0.500 0.500
0.500 0.000 0.000
```

---

(4)
Density functional theory data (PBE) for crystalline TaBiAsSe2 at its relaxed geometry.

Geometry as POSCAR:
```
TaBiAsSe2
1.0
-5.171 -1.253 0.495
1.148 -5.126 -0.980
0.702 -0.839 5.208
Se Bi Ta As
2 1 1 1
direct
0.500 0.000 0.000
0.000 0.500 0.000
0.000 0.000 0.000
0.500 0.500 0.500
0.000 0.000 0.500
```

Values from the calculation:
energy above the most stable polymorph in this dataset	1346	meV/atom

---

(5)
Density functional theory data (PBE) for crystalline TaBiAsSe2 at its relaxed geometry.

Geometry as POSCAR:
```
TaBiAsSe2
1.0
4.964 0.000 0.000
0.000 4.964 0.000
0.000 0.000 5.252
Se Bi Ta As
2 1 1 1
direct
0.000 0.500 0.000
0.500 0.000 0.000
0.500 0.500 0.500
0.000 0.000 0.000
0.000 0.000 0.500
```

Values from the calculation:
energy above the most stable polymorph in this dataset	0	meV/atom

---

(6)
Density functional theory data (PBE) for crystalline Tb4BiAsSe2 at its relaxed geometry.

Geometry as POSCAR:
```
Tb4BiAsSe2
1.0
-0.013 -4.040 1.185
5.699 -1.275 -4.285
6.224 1.091 3.790
Tb As Bi Se
4 1 1 2
direct
0.500 0.253 0.734
0.000 0.241 0.271
0.000 0.759 0.729
0.500 0.747 0.266
0.000 0.500 0.500
0.500 0.500 0.000
0.500 0.000 0.500
0.000 0.000 0.000
```

---

(7)
Density functional theory data (PBE) for crystalline Tb6BiAs2Se3 at its relaxed geometry.

Geometry as POSCAR:
```
Tb6BiAs2Se3
1.0
4.177 0.000 0.000
0.000 8.379 0.333
-2.089 -2.381 8.794
Tb Bi Se As
6 1 3 2
direct
0.329 0.423 0.659
0.326 0.900 0.653
0.671 0.577 0.341
0.674 0.100 0.347
0.995 0.732 0.989
0.005 0.268 0.011
0.500 0.000 0.000
0.164 0.833 0.327
0.500 0.500 0.000
0.836 0.167 0.673
0.168 0.335 0.335
0.832 0.665 0.665
```

---

(8)
Density functional theory data (PBE) for crystalline Tb4BiAs2Se at its relaxed geometry.

Geometry as POSCAR:
```
Tb4BiAs2Se
1.0
-2.365 -3.439 -0.536
2.027 -2.428 6.636
-4.707 2.459 4.995
Tb As Se Bi
4 2 1 1
direct
0.000 0.769 0.738
0.500 0.766 0.249
0.000 0.231 0.262
0.500 0.234 0.751
0.000 0.000 0.000
0.500 0.000 0.500
0.000 0.500 0.500
0.500 0.500 0.000
```

---

Number 1: total magnetic moment 0.0 μB/cell, ΔE_f (raw) 420 meV per atom. Number 2: total magnetic moment 0.3 μB/cell, ΔE_f (raw) -265 meV per atom. Number 3: total magnetic moment 1.9 μB/cell, ΔE_f (raw) -1111 meV per atom. Number 4: total magnetic moment 1.8 μB/cell, ΔE_f (raw) 1428 meV per atom. Number 5: total magnetic moment 0.0 μB/cell, ΔE_f (raw) 82 meV per atom. Number 6: total magnetic moment 0.0 μB/cell, ΔE_f (raw) -1488 meV per atom. Number 7: total magnetic moment 0.0 μB/cell, ΔE_f (raw) -1566 meV per atom. Number 8: total magnetic moment 0.0 μB/cell, ΔE_f (raw) -1450 meV per atom.